(1)
The following is a DFT calculation (PBE) of a relaxed structure of LiErFe.

abc: 12.482 3.833 5.032
angles: 90.00 99.15 90.00
Space group C2/m (No. 12)
Unique sites:
Li (0.083, 0.000, 0.314) [4 per cell]
Er (0.137, 0.500, 0.853) [4 per cell]
Fe (0.236, 0.500, 0.407) [4 per cell]

Energy relative to the elements ... 0.15 eV per atom
Volume ... 237.7 Å³ per cell
Total moment ... 0.00 μB/cell
DOS(E_F) ... 3.1 states/eV/f.u.


(2)
The following is a DFT calculation (PBE) of a relaxed structure of LiEr12Fe6.

abc: 9.618 9.618 9.618
angles: 90.00 90.00 90.00
Space group Im-3 (No. 204)
Unique sites:
Li (0.000, 0.000, 0.000) [2 per cell]
Er (0.000, 0.301, 0.198) [24 per cell]
Fe (0.000, 0.110, 0.500) [12 per cell]

Energy relative to the elements ... -0.02 eV per atom
Volume ... 889.8 Å³ per cell
Total moment ... 8.64 μB/cell
DOS(E_F) ... 16.4 states/eV/f.u.